Entry 1:
# Ce3NpPd12 PBE relaxed
data_Ce3NpPd12
_chemical_formula_sum 'Ce3 Np1 Pd12'
_cell_length_a 4.156
_cell_length_b 4.156
_cell_length_c 16.641
_cell_angle_alpha 90.00
_cell_angle_beta 90.00
_cell_angle_gamma 90.00
_space_group_name_H-M_alt 'P 4/m m m'
_space_group_IT_number 123
_space_group_name_Hall '-P 4 2'
loop_
_atom_site_label
_atom_site_type_symbol
_atom_site_fract_x
_atom_site_fract_y
_atom_site_fract_z
Ce1 Ce 0.000 0.000 0.000
Ce2 Ce 0.000 0.000 0.251
Np1 Np 0.000 0.000 0.500
Pd1 Pd 0.000 0.500 0.125
Pd2 Pd 0.000 0.500 0.375
Pd3 Pd 0.500 0.500 0.000
Pd4 Pd 0.500 0.500 0.250
Pd5 Pd 0.500 0.500 0.500
# **Calculated volume**: 287 Å³/cell
# **Calculated total energy**: -6.543 eV/atom
# **Crystal system**: tetragonal
# **DFT formation energy**: -727 meV per atom
# **Density**: 11.18 g/cm3

Entry 2:
# CaP3Pt PBE relaxed
data_CaP3Pt
_chemical_formula_sum 'Ca1 P3 Pt1'
_cell_length_a 4.792
_cell_length_b 4.792
_cell_length_c 4.792
_cell_angle_alpha 90.00
_cell_angle_beta 90.00
_cell_angle_gamma 90.00
_space_group_name_H-M_alt 'P m -3 m'
_space_group_IT_number 221
_space_group_name_Hall '-P 4 2 3'
loop_
_atom_site_label
_atom_site_type_symbol
_atom_site_fract_x
_atom_site_fract_y
_atom_site_fract_z
Ca1 Ca 0.000 0.000 0.000
P1 P 0.000 0.500 0.500
Pt1 Pt 0.500 0.500 0.500
# **Calculated volume**: 110 Å³/cell
# **Calculated total energy**: -4.719 eV/atom
# **Crystal system**: cubic
# **DFT formation energy**: 136 meV per atom
# **Polymorph energy (0 for the lowest one)**: 644 meV per atom
# **Density**: 4.95 g/cm3

Entry 3:
# ZnFeHg2 PBE relaxed
data_ZnFeHg2
_chemical_formula_sum 'Zn2 Fe2 Hg4'
_cell_length_a 2.891
_cell_length_b 4.675
_cell_length_c 11.389
_cell_angle_alpha 90.00
_cell_angle_beta 90.00
_cell_angle_gamma 90.00
_space_group_name_H-M_alt 'I m m 2'
_space_group_IT_number 44
_space_group_name_Hall 'I 2 -2'
loop_
_atom_site_label
_atom_site_type_symbol
_atom_site_fract_x
_atom_site_fract_y
_atom_site_fract_z
Zn1 Zn 0.000 0.000 0.000
Fe1 Fe 0.000 0.500 0.686
Hg1 Hg 0.000 0.000 0.399
Hg2 Hg 0.000 0.500 0.186
# **Calculated volume**: 154 Å³/cell
# **Calculated total energy**: -2.297 eV/atom
# **Crystal system**: orthorhombic
# **DFT formation energy**: 288 meV per atom
# **Density**: 11.27 g/cm3

Entry 4:
# NaZn6Pt2 PBE relaxed
data_NaZn6Pt2
_chemical_formula_sum 'Na2 Zn12 Pt4'
_cell_length_a 4.239
_cell_length_b 5.701
_cell_length_c 12.394
_cell_angle_alpha 90.00
_cell_angle_beta 90.00
_cell_angle_gamma 90.00
_space_group_name_H-M_alt 'I m m m'
_space_group_IT_number 71
_space_group_name_Hall '-I 2 2'
loop_
_atom_site_label
_atom_site_type_symbol
_atom_site_fract_x
_atom_site_fract_y
_atom_site_fract_z
Na1 Na 0.000 0.000 0.000
Zn1 Zn 0.000 0.212 0.500
Zn2 Zn 0.000 0.253 0.303
Pt1 Pt 0.000 0.500 0.120
# **Calculated volume**: 300 Å³/cell
# **Calculated total energy**: -2.556 eV/atom
# **Crystal system**: orthorhombic
# **DFT formation energy**: -218 meV per atom
# **Density**: 8.93 g/cm3

Entry 5:
# CaCdBBr2 PBE relaxed
data_CaCdBBr2
_chemical_formula_sum 'Ca1 Cd1 B1 Br2'
_cell_length_a 5.582
_cell_length_b 5.582
_cell_length_c 5.794
_cell_angle_alpha 90.00
_cell_angle_beta 90.00
_cell_angle_gamma 90.00
_space_group_name_H-M_alt 'P 4/m m m'
_space_group_IT_number 123
_space_group_name_Hall '-P 4 2'
loop_
_atom_site_label
_atom_site_type_symbol
_atom_site_fract_x
_atom_site_fract_y
_atom_site_fract_z
Ca1 Ca 0.000 0.000 0.000
Cd1 Cd 0.500 0.500 0.500
B1 B 0.000 0.000 0.500
Br1 Br 0.000 0.500 0.000
# **Calculated volume**: 181 Å³/cell
# **Calculated total energy**: -2.464 eV/atom
# **Crystal system**: tetragonal
# **Raw formation energy**: 0.1242 eV/atom
# **Density**: 2.97 g/cm3

Entry 6:
# Mg5Ga12Sn2 PBE relaxed
data_Mg5Ga12Sn2
_chemical_formula_sum 'Mg10 Ga24 Sn4'
_cell_length_a 13.195
_cell_length_b 8.776
_cell_length_c 8.982
_cell_angle_alpha 90.00
_cell_angle_beta 131.50
_cell_angle_gamma 90.00
_space_group_name_H-M_alt 'C 1 2/m 1'
_space_group_IT_number 12
_space_group_name_Hall '-C 2y'
loop_
_atom_site_label
_atom_site_type_symbol
_atom_site_fract_x
_atom_site_fract_y
_atom_site_fract_z
Mg1 Mg 0.000 0.000 0.000
Mg2 Mg 0.214 0.500 0.566
Mg3 Mg 0.236 0.000 0.749
Ga1 Ga 0.012 0.000 0.318
Ga2 Ga 0.056 0.500 0.833
Ga3 Ga 0.105 0.263 0.260
Ga4 Ga 0.210 0.170 0.075
Sn1 Sn 0.000 0.280 0.500
# **Calculated volume**: 779 Å³/cell
# **Calculated total energy**: -2.788 eV/atom
# **Crystal system**: monoclinic
# **DFT formation energy**: -36 meV per atom
# **Density**: 5.10 g/cm3

Entry 7:
# RbAlS2 PBE relaxed
data_RbAlS2
_chemical_formula_sum 'Rb1 Al1 S2'
_cell_length_a 4.131
_cell_length_b 4.131
_cell_length_c 5.859
_cell_angle_alpha 90.00
_cell_angle_beta 90.00
_cell_angle_gamma 90.00
_space_group_name_H-M_alt 'P 4/m m m'
_space_group_IT_number 123
_space_group_name_Hall '-P 4 2'
loop_
_atom_site_label
_atom_site_type_symbol
_atom_site_fract_x
_atom_site_fract_y
_atom_site_fract_z
Rb1 Rb 0.000 0.000 0.000
Al1 Al 0.500 0.500 0.500
S1 S 0.000 0.000 0.500
S2 S 0.500 0.500 0.000
# **Calculated volume**: 100 Å³/cell
# **Calculated total energy**: -3.358 eV/atom
# **Crystal system**: tetragonal
# **Raw formation energy**: -0.1169 eV/atom
# **Density**: 2.93 g/cm3

Entry 8:
# PaMn2AlH6 PBE relaxed
data_PaMn2AlH6
_chemical_formula_sum 'Pa3 Mn6 Al3 H18'
_cell_length_a 4.2633
_cell_length_b 4.2633
_cell_length_c 15.2906
_cell_angle_alpha 90.00
_cell_angle_beta 90.00
_cell_angle_gamma 120.00
_space_group_name_H-M_alt 'R -3 m'
_space_group_IT_number 166
_space_group_name_Hall '-R 3 2"'
loop_
_atom_site_label
_atom_site_type_symbol
_atom_site_fract_x
_atom_site_fract_y
_atom_site_fract_z
Pa1 Pa 0.0000 0.0000 0.0000
Mn1 Mn 0.0000 0.0000 0.2034
Al1 Al 0.0000 0.0000 0.5000
H1 H 0.0029 0.5015 0.0609
# **Calculated volume**: 241 Å³/cell
# **Calculated total energy**: -5.399 eV/atom
# **Crystal system**: trigonal
# **Density**: 7.74 g/cm3

Entry 9:
# LiPmDy2 PBE relaxed
data_LiPmDy2
_chemical_formula_sum 'Li3 Pm3 Dy6'
_cell_length_a 3.4816
_cell_length_b 3.4816
_cell_length_c 36.6707
_cell_angle_alpha 90.00
_cell_angle_beta 90.00
_cell_angle_gamma 120.00
_space_group_name_H-M_alt 'R -3 m'
_space_group_IT_number 166
_space_group_name_Hall '-R 3 2"'
loop_
_atom_site_label
_atom_site_type_symbol
_atom_site_fract_x
_atom_site_fract_y
_atom_site_fract_z
Li1 Li 0.0000 0.0000 0.0000
Pm1 Pm 0.0000 0.0000 0.5000
Dy1 Dy 0.0000 0.0000 0.0881
# **Calculated volume**: 385 Å³/cell
# **Calculated total energy**: -3.769 eV/atom
# **Crystal system**: trigonal
# **DFT formation energy**: 198 meV per atom
# **Polymorph energy (0 for the lowest one)**: 123 meV per atom
# **Density**: 6.17 g/cm3

Entry 10:
# As2IrCl PBE relaxed
data_As2IrCl
_chemical_formula_sum 'As2 Ir1 Cl1'
_cell_length_a 3.803
_cell_length_b 3.803
_cell_length_c 4.848
_cell_angle_alpha 90.00
_cell_angle_beta 90.00
_cell_angle_gamma 90.00
_space_group_name_H-M_alt 'P 4/m m m'
_space_group_IT_number 123
_space_group_name_Hall '-P 4 2'
loop_
_atom_site_label
_atom_site_type_symbol
_atom_site_fract_x
_atom_site_fract_y
_atom_site_fract_z
As1 As 0.000 0.500 0.000
Ir1 Ir 0.000 0.000 0.500
Cl1 Cl 0.500 0.500 0.500
# **Calculated volume**: 70 Å³/cell
# **Calculated total energy**: -4.270 eV/atom
# **Crystal system**: tetragonal
# **Raw formation energy**: 0.7321 eV/atom
# **Polymorph energy (0 for the lowest one)**: 979 meV per atom
# **Density**: 8.94 g/cm3

Entry 11:
# LiCu6Si4 PBE relaxed
data_LiCu6Si4
_chemical_formula_sum 'Li2 Cu12 Si8'
_cell_length_a 6.023
_cell_length_b 6.023
_cell_length_c 9.014
_cell_angle_alpha 90.00
_cell_angle_beta 90.00
_cell_angle_gamma 90.00
_space_group_name_H-M_alt 'I -4 2 m'
_space_group_IT_number 121
_space_group_name_Hall 'I -4 2'
loop_
_atom_site_label
_atom_site_type_symbol
_atom_site_fract_x
_atom_site_fract_y
_atom_site_fract_z
Li1 Li 0.000 0.000 0.000
Cu1 Cu 0.000 0.500 0.000
Cu2 Cu 0.198 0.198 0.674
Si1 Si 0.187 0.187 0.407
# **Calculated volume**: 327 Å³/cell
# **Calculated total energy**: -4.263 eV/atom
# **Crystal system**: tetragonal
# **Raw formation energy**: 0.1177 eV/atom
# **Density**: 5.08 g/cm3

Entry 12:
# Be4HgAs3O12 PBE relaxed
data_Be4HgAs3O12
_chemical_formula_sum 'Be12 Hg3 As9 O36'
_cell_length_a 9.8940
_cell_length_b 9.8940
_cell_length_c 7.2332
_cell_angle_alpha 90.00
_cell_angle_beta 90.00
_cell_angle_gamma 120.00
_space_group_name_H-M_alt 'R 3 2'
_space_group_IT_number 155
_space_group_name_Hall 'R 3 2"'
loop_
_atom_site_label
_atom_site_type_symbol
_atom_site_fract_x
_atom_site_fract_y
_atom_site_fract_z
Be1 Be 0.0000 0.0000 0.0000
Be2 Be 0.0000 0.4361 0.0000
Hg1 Hg 0.0000 0.0000 0.5000
As1 As 0.0000 0.5565 0.5000
O1 O 0.0000 0.5970 0.0000
O2 O 0.0000 0.8408 0.0000
O3 O 0.0486 0.2237 0.6951
# **Calculated volume**: 613 Å³/cell
# **Calculated total energy**: -5.977 eV/atom
# **Crystal system**: trigonal
# **Raw formation energy**: -1.5448 eV/atom
# **Density**: 5.31 g/cm3

> Among the records above, which one has the lowest calculated total energy?

Ce3NpPd12

Copy entry 3 word for word.
# ZnFeHg2 PBE relaxed
data_ZnFeHg2
_chemical_formula_sum 'Zn2 Fe2 Hg4'
_cell_length_a 2.891
_cell_length_b 4.675
_cell_length_c 11.389
_cell_angle_alpha 90.00
_cell_angle_beta 90.00
_cell_angle_gamma 90.00
_space_group_name_H-M_alt 'I m m 2'
_space_group_IT_number 44
_space_group_name_Hall 'I 2 -2'
loop_
_atom_site_label
_atom_site_type_symbol
_atom_site_fract_x
_atom_site_fract_y
_atom_site_fract_z
Zn1 Zn 0.000 0.000 0.000
Fe1 Fe 0.000 0.500 0.686
Hg1 Hg 0.000 0.000 0.399
Hg2 Hg 0.000 0.500 0.186
# **Calculated volume**: 154 Å³/cell
# **Calculated total energy**: -2.297 eV/atom
# **Crystal system**: orthorhombic
# **DFT formation energy**: 288 meV per atom
# **Density**: 11.27 g/cm3

> Which value of calculated volume does entry 10 give?

70 Å³/cell